Material: SmMgAl
Method: DFT, PBE
State: optimized geometry

```
SmMgAl
1.0
-1.5857 -0.7952 -4.8247
4.2143 -2.3731 1.7414
-3.5322 -4.8359 1.9580
Sm Al Mg
2 2 2
Cartesian
-3.4464 -4.4708 -2.0539 Sm
2.1873 -3.1050 1.3454 Sm
-1.6786 -2.0534 -3.0312 Al
0.4197 -5.5227 2.3225 Al
1.1360 -1.3693 -1.3325 Mg
-0.6301 -3.7872 -0.3536 Mg
```

Properties
energy of formation: -84 kJ/mol of formula units
space-group type: P6_3/mmc, No. 194

Material: Sm3Mg2Al
Method: DFT, PBE
State: optimized geometry

```
Sm3Mg2Al
1.0
-1.6555 0.9732 -3.2282
-3.3403 -0.9634 1.4225
-1.4203 10.8142 3.9886
Sm Mg Al
3 2 1
Cartesian
0.0000 0.0000 0.0000 Sm
-0.9283 7.0680 2.6068 Sm
-0.4920 3.7463 1.3817 Sm
-3.6758 8.9732 2.4049 Mg
-2.7403 1.8508 -0.2220 Mg
-3.2080 5.4120 1.0915 Al
```

Properties
energy of formation: -110 kJ/mol of formula units
distance to the lowest polymorph of the same formula: 0.0081 eV per atom
space-group type: P4/mmm, No. 123

| no. | VASP energy (eV/cell) |
| --- | --- |
| 1 | -21.8 |
| 2 | -22.2 |